An optimized crystal structure of AcLa6Pr5. Source: Alexandria, functional PBE.

Computed properties:
- calculated volume (Å³ per atom) = 37.23
- energy of formation from the pure elements (kJ per mole of atoms) = 1.3

a = 6.5005 Å, b = 8.3742 Å, c = 8.3742 Å
α = 84.27°, β = 97.36°, γ = 97.36°
Fractional coordinates of all 12 atoms:
Pr (0.5000, 0.1692, 0.8308)
Pr (0.0000, 0.3355, 0.6645)
Pr (0.5000, 0.5000, 0.5000)
Pr (0.0000, 0.6645, 0.3355)
Pr (0.5000, 0.8308, 0.1692)
Ac (0.0000, 0.0000, 0.0000)
La (0.2499, 0.0842, 0.4198)
La (0.7501, 0.5802, 0.9158)
La (0.7459, 0.2517, 0.2517)
La (0.2541, 0.7483, 0.7483)
La (0.2499, 0.4198, 0.0842)
La (0.7501, 0.9158, 0.5802)